BaMgIr: optimized geometry, PBE.

a = 4.973 Å, b = 4.973 Å, c = 4.973 Å
α = 60.00°, β = 60.00°, γ = 60.00°
Element x y z (fractional)
Ir (0.750, 0.750, 0.750)
Ba (0.500, 0.500, 0.500)
Mg (0.000, 0.000, 0.000)

Calculated values
Theoretical density, g cm⁻³: 6.8
Energy of formation from the pure elements, eV per atom: 0.1172
D(E_F), states/eV per atom: 1.25
Calculated volume, Å³/cell: 87.0
Space group: F-43m, No. 216